# SrMgAlAu6 (PBE-GGA, optimized geometry)
# Formation enthalpy at 0 K: -371 meV per atom
# Fermi-level density of states: 11.6 states/eV per cell
data_SrMgAlAu6
_chemical_formula_sum 'Sr4 Mg4 Al4 Au24'
_space_group_name_H-M_alt 'I m m a'
_space_group_IT_number 74
_space_group_name_Hall '-I 2b 2'
_cell_length_a 7.348
_cell_length_b 9.654
_cell_length_c 10.926
_cell_angle_alpha 90.00
_cell_angle_beta 90.00
_cell_angle_gamma 90.00
loop_
_atom_site_label
_atom_site_type_symbol
_atom_site_fract_x
_atom_site_fract_y
_atom_site_fract_z
Sr1 Sr 0.000 0.250 0.228
Mg1 Mg 0.250 0.250 0.750
Al1 Al 0.000 0.000 0.000
Au1 Au 0.000 0.250 0.548
Au2 Au 0.000 0.250 0.932
Au3 Au 0.203 0.004 0.373

***

# Sr2MgAl4Au3 (PBE-GGA, optimized geometry)
# Formation enthalpy at 0 K: -537 meV per atom
# Fermi-level density of states: 3.9 states/eV per cell
data_Sr2MgAl4Au3
_chemical_formula_sum 'Sr2 Mg1 Al4 Au3'
_space_group_name_H-M_alt 'P -4 m 2'
_space_group_IT_number 115
_cell_length_a 4.456
_cell_length_b 4.456
_cell_length_c 11.162
_cell_angle_alpha 90.00
_cell_angle_beta 90.00
_cell_angle_gamma 90.00
loop_
_space_group_symop_operation_xyz
'x,y,z'
'y,-x,-z'
'-x,-y,z'
'-y,x,-z'
'-x,y,z'
'-y,-x,-z'
'x,-y,z'
'y,x,-z'
loop_
_atom_site_label
_atom_site_type_symbol
_atom_site_fract_x
_atom_site_fract_y
_atom_site_fract_z
Sr1 Sr 0.000 0.500 0.244
Mg1 Mg 0.000 0.000 0.500
Al1 Al 0.000 0.000 0.000
Al2 Al 0.000 0.500 0.643
Al3 Al 0.500 0.500 0.000
Au1 Au 0.000 0.500 0.875
Au2 Au 0.500 0.500 0.500

***

# Sr2MgAl3Au4 (PBE-GGA, optimized geometry)
# Formation enthalpy at 0 K: -639 meV per atom
# Fermi-level density of states: 5.4 states/eV per cell
data_Sr2MgAl3Au4
_chemical_formula_sum 'Sr2 Mg1 Al3 Au4'
_space_group_name_H-M_alt 'P -4 m 2'
_space_group_IT_number 115
_cell_length_a 4.533
_cell_length_b 4.533
_cell_length_c 10.877
_cell_angle_alpha 90.00
_cell_angle_beta 90.00
_cell_angle_gamma 90.00
loop_
_space_group_symop_operation_xyz
'x,y,z'
'y,-x,-z'
'-x,-y,z'
'-y,x,-z'
'-x,y,z'
'-y,-x,-z'
'x,-y,z'
'y,x,-z'
loop_
_atom_site_label
_atom_site_type_symbol
_atom_site_fract_x
_atom_site_fract_y
_atom_site_fract_z
Sr1 Sr 0.000 0.500 0.242
Mg1 Mg 0.000 0.000 0.500
Al1 Al 0.000 0.500 0.878
Al2 Al 0.500 0.500 0.500
Au1 Au 0.000 0.000 0.000
Au2 Au 0.000 0.500 0.640
Au3 Au 0.500 0.500 0.000

***

# Tb2MgAl4Au3 (PBE-GGA, optimized geometry)
# Formation enthalpy at 0 K: -625 meV per atom
# Fermi-level density of states: 6.3 states/eV per cell
data_Tb2MgAl4Au3
_chemical_formula_sum 'Tb2 Mg1 Al4 Au3'
_space_group_name_H-M_alt 'P -4 m 2'
_space_group_IT_number 115
_cell_length_a 4.227
_cell_length_b 4.227
_cell_length_c 11.316
_cell_angle_alpha 90.00
_cell_angle_beta 90.00
_cell_angle_gamma 90.00
loop_
_space_group_symop_operation_xyz
'x,y,z'
'y,-x,-z'
'-x,-y,z'
'-y,x,-z'
'-x,y,z'
'-y,-x,-z'
'x,-y,z'
'y,x,-z'
loop_
_atom_site_label
_atom_site_type_symbol
_atom_site_fract_x
_atom_site_fract_y
_atom_site_fract_z
Tb1 Tb 0.000 0.500 0.243
Mg1 Mg 0.000 0.000 0.500
Al1 Al 0.000 0.000 0.000
Al2 Al 0.000 0.500 0.648
Al3 Al 0.500 0.500 0.000
Au1 Au 0.000 0.500 0.868
Au2 Au 0.500 0.500 0.500

***

# TbMgAl2Au2 (PBE-GGA, optimized geometry)
# Formation enthalpy at 0 K: -636 meV per atom
# Fermi-level density of states: 2.7 states/eV per cell
data_TbMgAl2Au2
_chemical_formula_sum 'Tb1 Mg1 Al2 Au2'
_space_group_name_H-M_alt 'P -3 m 1'
_space_group_IT_number 164
_space_group_name_Hall '-P 3 2"'
_cell_length_a 4.4552
_cell_length_b 4.4552
_cell_length_c 6.9176
_cell_angle_alpha 90.00
_cell_angle_beta 90.00
_cell_angle_gamma 120.00
loop_
_atom_site_label
_atom_site_type_symbol
_atom_site_fract_x
_atom_site_fract_y
_atom_site_fract_z
Tb1 Tb 0.0000 0.0000 0.0000
Mg1 Mg 0.0000 0.0000 0.5000
Al1 Al 0.3333 0.6667 0.2900
Au1 Au 0.3333 0.6667 0.7204

***

# TbMgAl2Au5 (PBE-GGA, optimized geometry)
# Formation enthalpy at 0 K: -443 meV per atom
# Fermi-level density of states: 3.2 states/eV per cell
data_TbMgAl2Au5
_chemical_formula_sum 'Tb1 Mg1 Al2 Au5'
_space_group_name_H-M_alt 'P 4/m m m'
_space_group_IT_number 123
_space_group_name_Hall '-P 4 2'
_cell_length_a 4.729
_cell_length_b 4.729
_cell_length_c 8.167
_cell_angle_alpha 90.00
_cell_angle_beta 90.00
_cell_angle_gamma 90.00
loop_
_atom_site_label
_atom_site_type_symbol
_atom_site_fract_x
_atom_site_fract_y
_atom_site_fract_z
Tb1 Tb 0.000 0.000 0.000
Mg1 Mg 0.000 0.000 0.500
Al1 Al 0.500 0.500 0.345
Au1 Au 0.000 0.500 0.235
Au2 Au 0.500 0.500 0.000